Entry 1:
Density functional theory data (GGA-PBE) for a relaxed structure of Al2CdO4.

It has space group Cccm (No. 66), with a = 5.044 Å, b = 8.387 Å, c = 8.096 Å, α = 90.00°, β = 90.00° and γ = 90.00°. The asymmetric unit holds Al at (0.001, 0.226, 0.000), Cd at (0.000, 0.500, 0.250), O at (0.221, 0.402, 0.500) and O at (0.250, 0.250, 0.158).

The formation energy (no corrections) comes out at -1495 kJ/mol of formula units.



Entry 2:
Density functional theory data (GGA-PBE) for a relaxed structure of CsIn2Sb.

It has space group P4/mmm (No. 123), with a = 4.056 Å, b = 4.056 Å, c = 8.725 Å, α = 90.00°, β = 90.00° and γ = 90.00°. The asymmetric unit holds Cs at (0.000, 0.000, 0.000), In at (0.500, 0.500, 0.319) and Sb at (0.000, 0.000, 0.500).

The formation energy (no corrections) comes out at -50 kJ/mol of formula units.



Entry 3:
Density functional theory data (GGA-PBE) for a relaxed structure of Ir5Ru6.

It has space group C2/m (No. 12), with a = 7.752 Å, b = 10.011 Å, c = 4.588 Å, α = 90.00°, β = 114.42° and γ = 90.00°. The asymmetric unit holds Ir at (0.000, 0.000, 0.000), Ir at (0.000, 0.132, 0.500), Ir at (0.000, 0.275, 0.000), Ru at (0.188, 0.360, 0.617) and Ru at (0.188, 0.500, 0.113).

For the formation energy, the calculation gives 167 meV/atom.



Entry 4:
Density functional theory data (GGA-PBE) for a relaxed structure of Na3Ca2HfSe6.

It has space group C2/m (No. 12), with a = 7.145 Å, b = 12.388 Å, c = 7.339 Å, α = 90.00°, β = 109.16° and γ = 90.00°. The asymmetric unit holds Na at (0.000, 0.000, 0.000), Na at (0.000, 0.330, 0.000), Ca at (0.000, 0.167, 0.500), Hf at (0.000, 0.500, 0.500), Se at (0.231, 0.346, 0.728) and Se at (0.232, 0.500, 0.274).

The formation energy (no corrections) comes out at -1640 kJ/mol of formula units.



Entry 5:
Density functional theory data (GGA-PBE) for a relaxed structure of Be6Nb2W.

It has space group P6/mmm (No. 191), with a = 6.0200 Å, b = 6.0200 Å, c = 3.1957 Å, α = 90.00°, β = 90.00° and γ = 120.00°. The asymmetric unit holds Be at (0.0000, 0.3294, 0.0000), Nb at (0.3333, 0.6667, 0.5000) and W at (0.0000, 0.0000, 0.5000).

For the formation energy, the calculation gives -174 meV/atom.



Entry 6:
Density functional theory data (GGA-PBE) for a relaxed structure of PmLuRu.

It has space group P3m1 (No. 156), with a = 4.7177 Å, b = 4.7177 Å, c = 3.6276 Å, α = 90.00°, β = 90.00° and γ = 120.00°. The asymmetric unit holds Pm at (0.0000, 0.0000, 0.0000), Lu at (0.3333, 0.6667, 0.5416) and Ru at (0.6667, 0.3333, 0.3191).

For the formation energy, the calculation gives -114 meV/atom. The offset from the most stable computed form comes out at 0.198 eV per atom.



Entry 7:
Density functional theory data (GGA-PBE) for a relaxed structure of La3InOs.

It has space group Pm-3m (No. 221), with a = 5.562 Å, b = 5.562 Å, c = 5.562 Å, α = 90.00°, β = 90.00° and γ = 90.00°. The asymmetric unit holds La at (0.000, 0.000, 0.500), In at (0.500, 0.500, 0.500) and Os at (0.000, 0.000, 0.000).

For the formation energy, the calculation gives -211 meV/atom. The offset from the most stable computed form comes out at 0.089 eV per atom.



Entry 8:
Density functional theory data (GGA-PBE) for a relaxed structure of Tm5ThSn6.

It has space group C2/m (No. 12), with a = 6.130 Å, b = 15.357 Å, c = 7.270 Å, α = 90.00°, β = 104.69° and γ = 90.00°. The asymmetric unit holds Tm at (0.000, 0.000, 0.000), Tm at (0.000, 0.325, 0.500), Tm at (0.000, 0.346, 0.000), Th at (0.000, 0.000, 0.500), Sn at (0.010, 0.172, 0.229) and Sn at (0.021, 0.500, 0.729).

For the formation energy, the calculation gives -550 meV/atom.



Entry 9:
Density functional theory data (GGA-PBE) for a relaxed structure of Ce8ZnTc5.

It has space group I-4 (No. 82), with a = 8.836 Å, b = 8.836 Å, c = 8.119 Å, α = 90.00°, β = 90.00° and γ = 90.00°. The asymmetric unit holds Ce at (0.045, 0.334, 0.060), Ce at (0.085, 0.183, 0.668), Zn at (0.000, 0.000, 0.000), Tc at (0.000, 0.500, 0.750) and Tc at (0.155, 0.215, 0.321).

For the formation energy, the calculation gives -33 meV/atom.